1.
Below is Li4DyMg5 after structural relaxation, with properties calculated at the PBE level.

abc: 3.481 3.481 17.933
angles: 90.00 90.00 90.00
Space group P4/mmm (No. 123)
One atom of each set of equivalent atoms:
Li1 0.000 0.000 0.093 (multiplicity 2)
Li2 0.000 0.000 0.281 (multiplicity 2)
Dy1 0.000 0.000 0.500 (multiplicity 1)
Mg1 0.500 0.500 0.000 (multiplicity 1)
Mg2 0.500 0.500 0.186 (multiplicity 2)
Mg3 0.500 0.500 0.374 (multiplicity 2)

energy of formation from the pure elements	-54.5	meV/atom



2.
Below is LiDyMg2 after structural relaxation, with properties calculated at the PBE level.

abc: 3.2825 3.2825 32.2173
angles: 90.00 90.00 120.00
Space group R-3m (No. 166, hexagonal axes)
One atom of each set of equivalent atoms:
Li1 0.0000 0.0000 0.0000 (multiplicity 3)
Dy1 0.0000 0.0000 0.5000 (multiplicity 3)
Mg1 0.0000 0.0000 0.2558 (multiplicity 6)

energy above the most stable polymorph in this dataset	76.3	meV/atom
energy of formation from the pure elements	32.7	meV/atom



3.
Below is LiDyMg6 after structural relaxation, with properties calculated at the PBE level.

abc: 4.769 4.769 8.296
angles: 90.00 90.00 90.00
Space group P4/mmm (No. 123)
One atom of each set of equivalent atoms:
Li1 0.000 0.000 0.000 (multiplicity 1)
Dy1 0.000 0.000 0.500 (multiplicity 1)
Mg1 0.000 0.500 0.231 (multiplicity 4)
Mg2 0.500 0.500 0.000 (multiplicity 1)
Mg3 0.500 0.500 0.500 (multiplicity 1)

energy of formation from the pure elements	-34.1	meV/atom



4.
Below is LiDy2Mg6 after structural relaxation, with properties calculated at the PBE level.

abc: 8.341 8.962 6.159
angles: 90.00 95.37 90.00
Space group C2/m (No. 12)
One atom of each set of equivalent atoms:
Li1 0.000 0.000 0.000 (multiplicity 2)
Dy1 0.165 0.500 0.663 (multiplicity 4)
Mg1 0.000 0.167 0.500 (multiplicity 4)
Mg2 0.167 0.334 0.166 (multiplicity 8)

energy above the most stable polymorph in this dataset	46.6	meV/atom
energy of formation from the pure elements	12.1	meV/atom



5.
Below is Li3DyMg12 after structural relaxation, with properties calculated at the PBE level.

abc: 4.503 4.503 18.098
angles: 90.00 90.00 90.00
Space group P4/mmm (No. 123)
One atom of each set of equivalent atoms:
Li1 0.000 0.000 0.000 (multiplicity 1)
Li2 0.000 0.000 0.245 (multiplicity 2)
Dy1 0.000 0.000 0.500 (multiplicity 1)
Mg1 0.000 0.500 0.121 (multiplicity 4)
Mg2 0.000 0.500 0.366 (multiplicity 4)
Mg3 0.500 0.500 0.000 (multiplicity 1)
Mg4 0.500 0.500 0.241 (multiplicity 2)
Mg5 0.500 0.500 0.500 (multiplicity 1)

energy of formation from the pure elements	-27.3	meV/atom



6.
Below is LiDy2Mg6 after structural relaxation, with properties calculated at the PBE level.

abc: 15.616 9.014 3.207
angles: 90.00 90.06 90.00
Space group C2/m (No. 12)
One atom of each set of equivalent atoms:
Li1 0.000 0.000 0.000 (multiplicity 2)
Dy1 0.167 0.500 0.000 (multiplicity 4)
Mg1 0.000 0.330 0.500 (multiplicity 4)
Mg2 0.165 0.165 0.498 (multiplicity 8)

energy above the most stable polymorph in this dataset	0.0	meV/atom
energy of formation from the pure elements	-34.5	meV/atom



7.
Below is LiDy4Mg2 after structural relaxation, with properties calculated at the PBE level.

abc: 5.2905 5.2905 25.3954
angles: 90.00 90.00 120.00
Space group R-3m (No. 166, hexagonal axes)
One atom of each set of equivalent atoms:
Li1 0.0000 0.0000 0.0000 (multiplicity 3)
Dy1 0.0000 0.0000 0.1282 (multiplicity 6)
Dy2 0.0000 0.0000 0.3809 (multiplicity 6)
Mg1 0.0000 0.0000 0.2548 (multiplicity 6)

energy of formation from the pure elements	197.3	meV/atom



8.
Below is LiDy2Mg after structural relaxation, with properties calculated at the PBE level.

abc: 7.506 7.506 7.506
angles: 90.00 90.00 90.00
Space group Fm-3m (No. 225)
One atom of each set of equivalent atoms:
Li1 0.000 0.000 0.000 (multiplicity 4)
Dy1 0.250 0.250 0.250 (multiplicity 8)
Mg1 0.000 0.000 0.500 (multiplicity 4)

energy above the most stable polymorph in this dataset	13.2	meV/atom
energy of formation from the pure elements	44.7	meV/atom



9.
Below is LiDy2Mg after structural relaxation, with properties calculated at the PBE level.

abc: 3.760 3.760 7.458
angles: 90.00 90.00 90.00
Space group P4/mmm (No. 123)
One atom of each set of equivalent atoms:
Li1 0.000 0.000 0.000 (multiplicity 1)
Dy1 0.500 0.500 0.251 (multiplicity 2)
Mg1 0.000 0.000 0.500 (multiplicity 1)

energy above the most stable polymorph in this dataset	0.0	meV/atom
energy of formation from the pure elements	31.5	meV/atom



10.
Below is Li4DyMg8 after structural relaxation, with properties calculated at the PBE level.

abc: 10.305 10.305 5.382
angles: 90.00 90.00 90.00
Space group I4/mmm (No. 139)
One atom of each set of equivalent atoms:
Li1 0.250 0.250 0.250 (multiplicity 8)
Dy1 0.000 0.000 0.000 (multiplicity 2)
Mg1 0.000 0.211 0.500 (multiplicity 8)
Mg2 0.000 0.352 0.000 (multiplicity 8)

energy of formation from the pure elements	-41.5	meV/atom



11.
Below is Li6DyMg6 after structural relaxation, with properties calculated at the PBE level.

abc: 5.444 10.010 10.246
angles: 90.00 90.00 90.00
Space group Immm (No. 71)
One atom of each set of equivalent atoms:
Li1 0.000 0.000 0.220 (multiplicity 4)
Li2 0.250 0.250 0.250 (multiplicity 8)
Dy1 0.000 0.500 0.500 (multiplicity 2)
Mg1 0.000 0.152 0.500 (multiplicity 4)
Mg2 0.000 0.196 0.000 (multiplicity 4)
Mg3 0.000 0.500 0.150 (multiplicity 4)

energy of formation from the pure elements	-16.3	meV/atom



12.
Below is LiDy3Mg7 after structural relaxation, with properties calculated at the PBE level.

abc: 3.235 22.735 15.409
angles: 90.00 90.00 90.00
Space group Cmcm (No. 63)
One atom of each set of equivalent atoms:
Li1 0.000 0.031 0.250 (multiplicity 4)
Dy1 0.000 0.120 0.547 (multiplicity 8)
Dy2 0.000 0.262 0.250 (multiplicity 4)
Mg1 0.000 0.264 0.574 (multiplicity 8)
Mg2 0.000 0.372 0.656 (multiplicity 8)
Mg3 0.000 0.412 0.250 (multiplicity 4)
Mg4 0.000 0.493 0.593 (multiplicity 8)

energy of formation from the pure elements	72.2	meV/atom